[1]
SmInAu3 | GGA-PBE | optimized geometry

Cell: 5.5567 5.9754 7.0354 Å, 90.00 90.00 103.42°
Positions (direct):
Sm (0.8374, 0.7386, 0.2500)
Sm (0.1626, 0.2614, 0.7500)
In (0.5801, 0.8982, 0.7500)
In (0.4199, 0.1018, 0.2500)
Au (0.3195, 0.6423, 0.4495)
Au (0.6805, 0.3577, 0.9495)
Au (0.6805, 0.3577, 0.5505)
Au (0.3195, 0.6423, 0.0505)
Au (0.9889, 0.2539, 0.2500)
Au (0.0111, 0.7461, 0.7500)

Output
The calculation puts the energy of formation from the pure elements at -0.5317 eV per atom. Its space group is No. 11. For the density, the calculation gives 12.51 g cm⁻³. Its crystal system is monoclinic.


[2]
Sm5InAu2 | GGA-PBE | optimized geometry

Cell: 8.2602 8.2602 8.8753 Å, 117.73 117.73 90.00°
Positions (direct):
Sm (0.5115, 0.6993, 0.7109)
Sm (0.8007, 0.9885, 0.2891)
Sm (0.0000, 0.0000, 0.0000)
Sm (0.5000, 0.5000, 0.0000)
Sm (0.1993, 0.0115, 0.7109)
Sm (0.6993, 0.1993, 0.7109)
Sm (0.0115, 0.5115, 0.7109)
Sm (0.3007, 0.8007, 0.2891)
Sm (0.9885, 0.4885, 0.2891)
Sm (0.4885, 0.3007, 0.2891)
In (0.7500, 0.7500, 0.5000)
In (0.2500, 0.2500, 0.5000)
Au (0.1350, 0.3650, 0.0000)
Au (0.6350, 0.1350, 0.0000)
Au (0.3650, 0.8650, 0.0000)
Au (0.8650, 0.6350, 0.0000)

Output
The calculation puts the energy of formation from the pure elements at -0.5350 eV per atom. Its space group is No. 140. For the density, the calculation gives 9.18 g cm⁻³. Its crystal system is tetragonal.


[3]
SmThInAu | GGA-PBE | optimized geometry

Cell: 5.3626 5.3626 5.3626 Å, 60.00 60.00 60.00°
Site moments in Bohr magnetons follow the coordinates.
Positions (direct):
Au (0.0000, 0.0000, 0.0000)  0.06
Sm (0.7500, 0.7500, 0.7500)  0.22
Th (0.2500, 0.2500, 0.2500)  0.25
In (0.5000, 0.5000, 0.5000)  0.00

Output
The calculation puts the energy of formation from the pure elements at -0.4360 eV per atom. Its space group is No. 216. For the density, the calculation gives 10.57 g cm⁻³. Its crystal system is cubic.